Entry 1:
Entry from Alexandria: a PBEsol-optimized structure of CaSiPb2 (SCAN).

Output
total magnetic moment: 0.0 μB/f.u.
total DFT energy (no corrections): -42.8530 eV/atom
formation energy without anion corrections: -0.17 eV per formula unit

Unit cell a=3.9411 b=3.9910 c=6.6110 alpha=90.00 beta=90.00 gamma=90.00
Last column: nearest neighbours and their distance in Å.
Fractional coordinates of all 4 atoms:
Ca  0.0000  0.0000  0.0000  5 Pb 3.06-3.38, 4 Si 3.31
Si  0.5000  0.5000  0.7354  5 Pb 2.98-3.10, 4 Ca 3.31
Pb  0.0000  0.0000  0.5374  1 Ca 3.06, 4 Si 3.10, 4 Pb 3.27
Pb  0.5000  0.5000  0.2844  1 Si 2.98, 4 Pb 3.27

Entry 2:
Entry from Alexandria: a PBEsol-optimized structure of Ca2SiPb (SCAN).

Output
offset from the most stable computed form: 0.125 eV/atom
total magnetic moment: 0.0 μB/f.u.
total DFT energy (no corrections): -26.6462 eV/atom
formation energy without anion corrections: -1.46 eV per formula unit

Unit cell a=6.2437 b=6.2437 c=5.2213 alpha=109.78 beta=109.78 gamma=32.98
Last column: nearest neighbours and their distance in Å.
Fractional coordinates of all 4 atoms:
Ca  0.0000  0.0000  0.0000  4 Si 3.07-3.28, 1 Pb 3.19, 1 Ca 3.40
Ca  0.2132  0.2132  0.6367  4 Pb 3.22-3.23, 3 Si 3.24-3.42, 3 Ca 3.40-3.55
Si  0.4725  0.4725  0.5021  2 Pb 2.96, 6 Ca 3.07-3.28
Pb  0.7732  0.7732  0.1858  2 Si 2.96, 5 Ca 3.19-3.23

Entry 3:
Entry from Alexandria: a PBEsol-optimized structure of Ca2SnPb2 (SCAN).

Output
total magnetic moment: 0.0 μB/f.u.
total DFT energy (no corrections): -41.9415 eV/atom
energy relative to the elements: -2.897 eV per formula unit

Unit cell a=7.9558 b=7.9558 c=4.6771 alpha=90.00 beta=90.00 gamma=90.00
Last column: nearest neighbours and their distance in Å.
Fractional coordinates of all 10 atoms:
Ca  0.1701  0.3299  0.0000  6 Pb 3.21-3.38
Ca  0.3299  0.8299  0.0000  6 Pb 3.21-3.38
Ca  0.6701  0.1701  0.0000  6 Pb 3.21-3.38
Ca  0.8299  0.6701  0.0000  6 Pb 3.21-3.38
Sn  0.0000  0.0000  0.5000  4 Pb 3.10
Sn  0.5000  0.5000  0.5000  4 Pb 3.10
Pb  0.1348  0.6348  0.5000  1 Pb 3.03, 2 Sn 3.10, 6 Ca 3.21-3.38
Pb  0.3652  0.1348  0.5000  1 Pb 3.03, 2 Sn 3.10, 6 Ca 3.21-3.38
Pb  0.6348  0.8652  0.5000  1 Pb 3.03, 2 Sn 3.10, 6 Ca 3.21-3.38
Pb  0.8652  0.3652  0.5000  1 Pb 3.03, 2 Sn 3.10, 6 Ca 3.21-3.38

Entry 4:
Entry from Alexandria: a PBEsol-optimized structure of CaZnSnPb2 (SCAN).

Output
total magnetic moment: 0.0 μB/f.u.
total DFT energy (no corrections): -42.1251 eV/atom
energy relative to the elements: 0.037 eV per formula unit

Unit cell a=5.3428 b=5.3428 c=5.2171 alpha=90.00 beta=90.00 gamma=90.00
Last column: nearest neighbours and their distance in Å.
Fractional coordinates of all 5 atoms:
Ca  0.0000  0.0000  0.0000  8 Pb 3.73, 4 Sn 3.78
Zn  0.5000  0.5000  0.5000  2 Sn 2.61, 4 Pb 2.67
Sn  0.5000  0.5000  0.0000  2 Zn 2.61
Pb  0.0000  0.5000  0.5000  2 Zn 2.67
Pb  0.5000  0.0000  0.5000  2 Zn 2.67

Entry 5:
Entry from Alexandria: a PBEsol-optimized structure of SrCa2Pb (SCAN).

Output
total magnetic moment: 0.0 μB/f.u.
total DFT energy (no corrections): -29.6998 eV/atom
energy relative to the elements: -1.416 eV per formula unit

Unit cell a=6.1633 b=6.1633 c=6.1633 alpha=129.91 beta=129.91 gamma=73.56
Last column: nearest neighbours and their distance in Å.
Fractional coordinates of all 4 atoms:
Sr  0.0000  0.0000  0.0000  4 Pb 3.59, 8 Ca 3.59-3.69
Ca  0.5000  0.5000  0.0000  4 Pb 3.59, 4 Ca 3.59, 4 Sr 3.69
Ca  0.7500  0.2500  0.5000  4 Ca 3.59, 4 Sr 3.59, 4 Pb 3.69
Pb  0.2500  0.7500  0.5000  8 Ca 3.59-3.69, 4 Sr 3.59

Entry 6:
Entry from Alexandria: a PBEsol-optimized structure of SrCa2Pb (SCAN).

Output
total magnetic moment: 0.0 μB/f.u.
total DFT energy (no corrections): -29.6760 eV/atom
energy relative to the elements: -1.321 eV per formula unit

Unit cell a=3.9316 b=5.0978 c=7.2631 alpha=90.00 beta=100.62 gamma=90.00
Last column: nearest neighbours and their distance in Å.
Fractional coordinates of all 4 atoms:
Sr  0.0000  0.0000  0.0000  2 Pb 3.63, 8 Ca 3.79-3.80, 2 Sr 3.93
Ca  0.4009  0.5000  0.7177  2 Pb 3.25, 1 Ca 3.39
Ca  0.5991  0.5000  0.2823  2 Pb 3.25, 1 Ca 3.39
Pb  0.0000  0.0000  0.5000  4 Ca 3.25, 2 Sr 3.63

Entry 7:
Entry from Alexandria: a PBEsol-optimized structure of SrCaTlPb2 (SCAN).

Output
total magnetic moment: 0.0 μB/f.u.
total DFT energy (no corrections): -51.1795 eV/atom
energy relative to the elements: -0.038 eV per formula unit

Unit cell a=5.8713 b=5.8713 c=5.6782 alpha=90.00 beta=90.00 gamma=90.00
Last column: nearest neighbours and their distance in Å.
Fractional coordinates of all 5 atoms:
Sr  0.0000  0.0000  0.0000  8 Pb 4.08, 4 Ca 4.15
Ca  0.5000  0.5000  0.0000  2 Tl 2.84
Tl  0.5000  0.5000  0.5000  2 Ca 2.84, 4 Pb 2.94
Pb  0.0000  0.5000  0.5000  2 Tl 2.94
Pb  0.5000  0.0000  0.5000  2 Tl 2.94

Entry 8:
Entry from Alexandria: a PBEsol-optimized structure of Ca3TaPb (SCAN).

Output
total magnetic moment: 5.0 μB/f.u.
total DFT energy (no corrections): -33.4062 eV/atom
energy relative to the elements: 4.324 eV per formula unit

Unit cell a=5.8030 b=5.8030 c=5.8030 alpha=90.00 beta=90.00 gamma=90.00
Last column: nearest neighbours and their distance in Å.
Fractional coordinates of all 5 atoms:
Ca  0.0000  0.0000  0.5000  2 Pb 2.90
Ca  0.0000  0.5000  0.0000  2 Pb 2.90
Ca  0.5000  0.0000  0.0000  2 Pb 2.90
Ta  0.5000  0.5000  0.5000  12 Ca 4.10
Pb  0.0000  0.0000  0.0000  6 Ca 2.90

Entry 9:
Entry from Alexandria: a PBEsol-optimized structure of Ca2TcPb (SCAN).

Output
total magnetic moment: 1.6 μB/f.u.
total DFT energy (no corrections): -32.3585 eV/atom
energy relative to the elements: 0.734 eV per formula unit

Unit cell a=5.5540 b=5.5540 c=5.5540 alpha=132.51 beta=132.51 gamma=69.42
Last column: nearest neighbours and their distance in Å.
Fractional coordinates of all 4 atoms:
Ca  0.2500  0.7500  0.5000  4 Ca 3.16, 4 Pb 3.20, 4 Tc 3.20
Ca  0.7500  0.2500  0.5000  4 Ca 3.16, 4 Pb 3.20, 4 Tc 3.20
Tc  0.0000  0.0000  0.0000  4 Pb 3.16, 8 Ca 3.20
Pb  0.5000  0.5000  0.0000  4 Tc 3.16, 8 Ca 3.20

Entry 10:
Entry from Alexandria: a PBEsol-optimized structure of Ca3TcPb (SCAN).

Output
total magnetic moment: 3.2 μB/f.u.
total DFT energy (no corrections): -27.2878 eV/atom
energy relative to the elements: 3.392 eV per formula unit

Unit cell a=5.8185 b=5.8185 c=5.8185 alpha=90.00 beta=90.00 gamma=90.00
Last column: nearest neighbours and their distance in Å.
Fractional coordinates of all 5 atoms:
Ca  0.0000  0.0000  0.5000  2 Pb 2.91
Ca  0.0000  0.5000  0.0000  2 Pb 2.91
Ca  0.5000  0.0000  0.0000  2 Pb 2.91
Tc  0.5000  0.5000  0.5000  12 Ca 4.11
Pb  0.0000  0.0000  0.0000  6 Ca 2.91

Entry 11:
Entry from Alexandria: a PBEsol-optimized structure of Ca2TcPb (SCAN).

Output
total magnetic moment: 2.2 μB/f.u.
total DFT energy (no corrections): -32.3217 eV/atom
energy relative to the elements: 0.881 eV per formula unit

Unit cell a=5.2061 b=5.2061 c=3.5306 alpha=90.00 beta=90.00 gamma=90.00
Last column: nearest neighbours and their distance in Å.
Fractional coordinates of all 4 atoms:
Ca  0.0000  0.5000  0.0000  4 Pb 3.15, 4 Tc 3.15
Ca  0.5000  0.0000  0.0000  4 Pb 3.15, 4 Tc 3.15
Tc  0.0000  0.0000  0.5000  8 Ca 3.15
Pb  0.5000  0.5000  0.5000  8 Ca 3.15

Entry 12:
Entry from Alexandria: a PBEsol-optimized structure of Ca2TcPb (SCAN).

Output
total magnetic moment: 0.0 μB/f.u.
total DFT energy (no corrections): -32.3911 eV/atom
energy relative to the elements: 0.604 eV per formula unit

Unit cell a=5.9020 b=5.9020 c=5.0712 alpha=115.44 beta=115.44 gamma=37.70
Last column: nearest neighbours and their distance in Å.
Fractional coordinates of all 4 atoms:
Ca  0.0000  0.0000  0.0000  4 Tc 3.18-3.19, 4 Pb 3.31-3.41, 4 Ca 3.33-3.40
Ca  0.2172  0.2172  0.7158  2 Tc 3.13, 4 Pb 3.22, 4 Ca 3.33-3.40
Tc  0.4683  0.4683  0.4694  2 Pb 2.73
Pb  0.7721  0.7721  0.2703  2 Tc 2.73

Entry 13:
Entry from Alexandria: a PBEsol-optimized structure of CaTe2Pb (SCAN).

Output
total magnetic moment: 0.0 μB/f.u.
total DFT energy (no corrections): -41.0658 eV/atom
formation energy without anion corrections: -4.32 eV per formula unit

Unit cell a=7.8541 b=7.8541 c=7.8541 alpha=33.29 beta=33.29 gamma=33.29
Last column: nearest neighbours and their distance in Å.
Fractional coordinates of all 4 atoms:
Ca  0.0000  0.0000  0.0000  6 Te 3.16
Te  0.2525  0.2525  0.2525  3 Ca 3.16, 3 Pb 3.22
Te  0.7475  0.7475  0.7475  3 Ca 3.16, 3 Pb 3.22
Pb  0.5000  0.5000  0.5000  6 Te 3.22

Entry 14:
Entry from Alexandria: a PBEsol-optimized structure of CaTe2Pb (SCAN).

Output
total magnetic moment: 0.0 μB/f.u.
total DFT energy (no corrections): -40.3208 eV/atom
formation energy without anion corrections: -1.34 eV per formula unit

Unit cell a=5.4925 b=5.4925 c=5.4925 alpha=60.00 beta=60.00 gamma=60.00
Last column: nearest neighbours and their distance in Å.
Fractional coordinates of all 4 atoms:
Ca  0.0000  0.0000  0.0000  4 Pb 3.36, 4 Te 3.36
Te  0.2500  0.2500  0.2500  4 Te 3.36, 4 Ca 3.36
Te  0.5000  0.5000  0.5000  4 Pb 3.36, 4 Te 3.36
Pb  0.7500  0.7500  0.7500  4 Te 3.36, 4 Ca 3.36

Entry 15:
Entry from Alexandria: a PBEsol-optimized structure of CaTe2Pb (SCAN).

Output
total magnetic moment: 0.0 μB/f.u.
total DFT energy (no corrections): -40.9904 eV/atom
formation energy without anion corrections: -4.01 eV per formula unit

Unit cell a=4.7291 b=6.4927 c=6.4927 alpha=38.59 beta=90.00 gamma=90.00
Last column: nearest neighbours and their distance in Å.
Fractional coordinates of all 4 atoms:
Ca  0.0000  0.0000  0.0000  7 Te 3.20-3.58
Te  0.0000  0.2659  0.2659  4 Pb 3.19, 1 Ca 3.26
Te  0.5000  0.5207  0.5207  1 Pb 2.96, 4 Ca 3.20
Pb  0.5000  0.7622  0.7622  5 Te 2.96-3.19